1.
VASP calculation (PBE-GGA) on BaBeSe2O8 after structural relaxation.

- DOS at the Fermi energy: 0.00 states/eV/f.u.
- Total magnetic moment: 0.000 μB/cell
- Uncorrected formation energy: -1.378 eV/atom
- Crystal system: trigonal

The structure in CIF format:
```
data_BaBeSe2O8
_cell_length_a 5.0078
_cell_length_b 5.0078
_cell_length_c 7.6205
_cell_angle_alpha 90.00
_cell_angle_beta 90.00
_cell_angle_gamma 120.00
_symmetry_space_group_name_H-M 'P -3'
_symmetry_Int_Tables_number 147
_symmetry_space_group_name_Hall '-P 3'
loop_
_atom_site_label
_atom_site_fract_x
_atom_site_fract_y
_atom_site_fract_z
Ba1 0.0000 0.0000 0.0000
Be1 0.0000 0.0000 0.5000
Se1 0.3333 0.6667 0.7039
O1 0.0456 0.3148 0.6492
O2 0.3333 0.6667 0.9248
```

2.
VASP calculation (PBE-GGA) on Ba3SmBe2O6 after structural relaxation.

- DOS at the Fermi energy: 1.74 states/eV/f.u.
- Total magnetic moment: 0.001 μB/cell
- Uncorrected formation energy: -2.635 eV/atom
- Crystal system: trigonal

The structure in CIF format:
```
data_Ba3SmBe2O6
_cell_length_a 5.8369
_cell_length_b 5.8369
_cell_length_c 7.3599
_cell_angle_alpha 90.00
_cell_angle_beta 90.00
_cell_angle_gamma 120.00
_symmetry_space_group_name_H-M 'P -3 m 1'
_symmetry_Int_Tables_number 164
_symmetry_space_group_name_Hall '-P 3 2"'
loop_
_atom_site_label
_atom_site_fract_x
_atom_site_fract_y
_atom_site_fract_z
Ba1 0.0000 0.0000 0.0000
Ba2 0.3333 0.6667 0.6864
Sm1 0.0000 0.0000 0.5000
Be1 0.3333 0.6667 0.2749
O1 0.1800 0.3600 0.3027
```

3.
VASP calculation (PBE-GGA) on Ba2SmBe2O6 after structural relaxation.

- DOS at the Fermi energy: 9.18 states/eV/f.u.
- Total magnetic moment: 2.915 μB/cell
- Uncorrected formation energy: -2.639 eV/atom
- Crystal system: trigonal

The structure in CIF format:
```
data_Ba2SmBe2O6
_cell_length_a 5.7324
_cell_length_b 5.7324
_cell_length_c 17.8655
_cell_angle_alpha 90.00
_cell_angle_beta 90.00
_cell_angle_gamma 120.00
_symmetry_space_group_name_H-M 'R -3 m'
_symmetry_Int_Tables_number 166
_symmetry_space_group_name_Hall '-R 3 2"'
loop_
_atom_site_label
_atom_site_fract_x
_atom_site_fract_y
_atom_site_fract_z
Ba1 0.0000 0.0000 0.2139
Sm1 0.0000 0.0000 0.0000
Be1 0.0000 0.0000 0.4206
O1 0.0220 0.5110 0.2483
```

4.
VASP calculation (PBE-GGA) on Ba2Be2SnO6 after structural relaxation.

- DOS at the Fermi energy: 0.00 states/eV/f.u.
- Total magnetic moment: 0.000 μB/cell
- Uncorrected formation energy: -2.436 eV/atom
- Crystal system: trigonal

The structure in CIF format:
```
data_Ba2Be2SnO6
_cell_length_a 5.5644
_cell_length_b 5.5644
_cell_length_c 16.8429
_cell_angle_alpha 90.00
_cell_angle_beta 90.00
_cell_angle_gamma 120.00
_symmetry_space_group_name_H-M 'R -3 m'
_symmetry_Int_Tables_number 166
_symmetry_space_group_name_Hall '-R 3 2"'
loop_
_atom_site_label
_atom_site_fract_x
_atom_site_fract_y
_atom_site_fract_z
Ba1 0.0000 0.0000 0.2213
Be1 0.0000 0.0000 0.4095
Sn1 0.0000 0.0000 0.0000
O1 0.0107 0.5053 0.2568
```

5.
VASP calculation (PBE-GGA) on BaBe4Sn3O12 after structural relaxation.

- DOS at the Fermi energy: 8.40 states/eV/f.u.
- Total magnetic moment: 6.226 μB/cell
- Uncorrected formation energy: -1.946 eV/atom
- Crystal system: trigonal

The structure in CIF format:
```
data_BaBe4Sn3O12
_cell_length_a 10.3700
_cell_length_b 10.3700
_cell_length_c 8.0352
_cell_angle_alpha 90.00
_cell_angle_beta 90.00
_cell_angle_gamma 120.00
_symmetry_space_group_name_H-M 'R 3 2'
_symmetry_Int_Tables_number 155
_symmetry_space_group_name_Hall 'R 3 2"'
loop_
_atom_site_label
_atom_site_fract_x
_atom_site_fract_y
_atom_site_fract_z
Ba1 0.0000 0.0000 0.0000
Be1 0.0000 0.0000 0.5000
Be2 0.0000 0.4404 0.5000
Sn1 0.0000 0.5590 0.0000
O1 0.0000 0.5912 0.5000
O2 0.0000 0.8490 0.5000
O3 0.0389 0.2260 0.1908
```

6.
VASP calculation (PBE-GGA) on Ba3SrBe2O6 after structural relaxation.

- DOS at the Fermi energy: 0.00 states/eV/f.u.
- Total magnetic moment: 0.000 μB/cell
- Uncorrected formation energy: -2.567 eV/atom
- Crystal system: trigonal

The structure in CIF format:
```
data_Ba3SrBe2O6
_cell_length_a 5.9507
_cell_length_b 5.9507
_cell_length_c 7.0169
_cell_angle_alpha 90.00
_cell_angle_beta 90.00
_cell_angle_gamma 120.00
_symmetry_space_group_name_H-M 'P -3 m 1'
_symmetry_Int_Tables_number 164
_symmetry_space_group_name_Hall '-P 3 2"'
loop_
_atom_site_label
_atom_site_fract_x
_atom_site_fract_y
_atom_site_fract_z
Ba1 0.0000 0.0000 0.0000
Ba2 0.3333 0.6667 0.6828
Sr1 0.0000 0.0000 0.5000
Be1 0.3333 0.6667 0.2576
O1 0.1837 0.3675 0.2760
```

7.
VASP calculation (PBE-GGA) on BaSrBeO3 after structural relaxation.

- DOS at the Fermi energy: 0.00 states/eV/f.u.
- Total magnetic moment: 0.000 μB/cell
- Uncorrected formation energy: -2.338 eV/atom
- Crystal system: monoclinic

The structure in CIF format:
```
data_BaSrBeO3
_cell_length_a 12.478
_cell_length_b 4.347
_cell_length_c 7.268
_cell_angle_alpha 90.00
_cell_angle_beta 106.55
_cell_angle_gamma 90.00
_symmetry_space_group_name_H-M 'C 1 2/m 1'
_symmetry_Int_Tables_number 12
_symmetry_space_group_name_Hall '-C 2y'
loop_
_atom_site_label
_atom_site_fract_x
_atom_site_fract_y
_atom_site_fract_z
Ba1 0.146 0.000 0.074
Sr1 0.144 0.000 0.571
Be1 0.004 0.500 0.267
O1 0.002 0.000 0.266
O2 0.128 0.500 0.800
O3 0.136 0.500 0.327
```

8.
VASP calculation (PBE-GGA) on Ba2TaBeO6 after structural relaxation.

- DOS at the Fermi energy: 8.59 states/eV/f.u.
- Total magnetic moment: 1.052 μB/cell
- Uncorrected formation energy: -2.485 eV/atom
- Crystal system: trigonal

The structure in CIF format:
```
data_Ba2TaBeO6
_cell_length_a 5.8752
_cell_length_b 5.8752
_cell_length_c 4.8874
_cell_angle_alpha 90.00
_cell_angle_beta 90.00
_cell_angle_gamma 120.00
_symmetry_space_group_name_H-M 'P -3 m 1'
_symmetry_Int_Tables_number 164
_symmetry_space_group_name_Hall '-P 3 2"'
loop_
_atom_site_label
_atom_site_fract_x
_atom_site_fract_y
_atom_site_fract_z
Ba1 0.3333 0.6667 0.1979
Ta1 0.0000 0.0000 0.5000
Be1 0.0000 0.0000 0.0000
O1 0.1495 0.2991 0.7637
```